VASP calculation (GGA+U) on a relaxed structure of K2HfMo3O12.

Summary:
* DOS at the Fermi energy: 0.0 states/eV/f.u.
* symmetry: R-3m (166)
* VASP energy: -128.70 eV/cell

Cell: 7.457 7.457 7.457 Å, 59.64 59.64 59.64°
Positions (direct):
K1 0.158 0.158 0.158
K2 0.842 0.842 0.842
Hf1 0.500 0.500 0.500
Mo1 0.000 0.500 0.500
Mo2 0.500 0.000 0.500
Mo3 0.500 0.500 0.000
O1 0.171 0.566 0.566
O2 0.193 0.193 0.558
O3 0.193 0.558 0.193
O4 0.434 0.434 0.829
O5 0.434 0.829 0.434
O6 0.442 0.807 0.807
O7 0.558 0.193 0.193
O8 0.566 0.171 0.566
O9 0.566 0.566 0.171
O10 0.807 0.442 0.807
O11 0.807 0.807 0.442
O12 0.829 0.434 0.434